Record 1
First-principles (PBE-GGA) data for an optimized crystal structure of CaSmTeSe, as listed in Alexandria via LeMat-Bulk.

Cell lengths 4.279, 4.279, 7.634 Å; angles 73.72, 73.72, 60.00 degrees
Fractional coordinates of all 4 atoms:
Te1 0.750 0.750 0.750
Se1 0.251 0.251 0.247
Ca1 0.993 0.993 0.022
Sm1 0.507 0.507 0.480

The total energy comes out at -5.0228 eV/atom. The value obtained for the uncorrected formation energy is -1.69 eV per atom.


Record 2
First-principles (PBE-GGA) data for an optimized crystal structure of Sr2InSn4Hg3, as listed in Alexandria via LeMat-Bulk.

Cell lengths 4.953, 4.953, 12.189 Å; angles 90.00, 90.00, 90.00 degrees
Fractional coordinates of all 10 atoms:
Sr1 0.000 0.500 0.752
In1 0.500 0.500 0.500
Hg1 0.000 0.000 0.500
Sn1 0.000 0.500 0.366
Sn2 0.000 0.000 0.000
Sn3 0.500 0.000 0.634
Hg2 0.000 0.500 0.137
Sr2 0.500 0.000 0.248
Sn4 0.500 0.500 0.000
Hg3 0.500 0.000 0.863

As for the formation energy: -0.28 eV/atom. The total energy comes out at -2.5847 eV/atom.


Record 3
First-principles (PBE-GGA) data for an optimized crystal structure of ZrSc3Co4, as listed in Alexandria via LeMat-Bulk.

Cell lengths 4.447, 6.286, 8.894 Å; angles 90.00, 90.00, 90.00 degrees
Last column: magnetic moment on the atom in μB.
Fractional coordinates of all 16 atoms:
Zr1 0.000 0.500 0.500  -0.17
Sc1 0.500 0.500 0.250  -0.14
Sc2 0.000 0.000 0.500  -0.14
Co1 0.000 0.747 0.250  0.59
Sc3 0.500 0.000 0.250  -0.15
Co2 0.500 0.747 0.000  0.59
Co3 0.000 0.747 0.750  0.59
Sc4 0.000 0.000 0.000  -0.14
Sc5 0.500 0.000 0.750  -0.15
Co4 0.500 0.747 0.500  0.59
Co5 0.500 0.253 0.000  0.59
Sc6 0.500 0.500 0.750  -0.14
Co6 0.000 0.253 0.750  0.59
Co7 0.500 0.253 0.500  0.59
Zr2 0.000 0.500 0.000  -0.17
Co8 0.000 0.253 0.250  0.59

As for the formation energy: -0.36 eV/atom. The total energy comes out at -7.3567 eV/atom.


Record 4
First-principles (PBE-GGA) data for an optimized crystal structure of Ti4NiH, as listed in Alexandria via LeMat-Bulk.

Cell lengths 5.427, 5.913, 5.255 Å; angles 90.00, 99.98, 90.00 degrees
Fractional coordinates of all 12 atoms:
Ti1 0.674 0.670 0.639
Ti2 0.079 0.363 0.823
Ti3 0.579 0.137 0.823
Ni1 0.500 0.500 0.000
Ti4 0.826 0.170 0.361
Ni2 0.000 0.000 0.000
H1 0.500 0.000 0.500
Ti5 0.921 0.637 0.177
Ti6 0.174 0.830 0.639
Ti7 0.326 0.330 0.361
Ti8 0.421 0.863 0.177
H2 0.000 0.500 0.500

The total energy comes out at -6.8620 eV/atom.


Record 5
First-principles (PBE-GGA) data for an optimized crystal structure of PmBeAs2, as listed in Alexandria via LeMat-Bulk.

Cell lengths 3.946, 3.946, 9.898 Å; angles 90.00, 90.00, 90.00 degrees
Fractional coordinates of all 8 atoms:
Pm1 0.000 0.500 0.268
As1 0.500 0.500 0.500
Pm2 0.500 0.000 0.732
Be1 0.500 0.500 0.000
As2 0.000 0.500 0.869
As3 0.000 0.000 0.500
As4 0.500 0.000 0.131
Be2 0.000 0.000 0.000

As for the formation energy: -0.71 eV/atom. The total energy comes out at -5.1566 eV/atom. Its energy above the most stable polymorph in this dataset is 0.0 meV/atom.


Record 6
First-principles (PBE-GGA) data for an optimized crystal structure of KBaMn2, as listed in Alexandria via LeMat-Bulk.

Cell lengths 5.632, 5.632, 5.632 Å; angles 120.13, 120.13, 89.77 degrees
Last column: magnetic moment on the atom in μB.
Fractional coordinates of all 4 atoms:
K1 0.750 0.250 0.500  -0.03
Mn1 0.250 0.750 0.500  4.00
Mn2 0.000 0.000 0.000  4.11
Ba1 0.500 0.500 0.000  -0.14

As for the formation energy: 0.94 eV/atom. The total energy comes out at -4.3966 eV/atom. Its energy above the most stable polymorph in this dataset is 227.5 meV/atom.


Record 7
First-principles (PBE-GGA) data for an optimized crystal structure of PmGe2PdRh, as listed in Alexandria via LeMat-Bulk.

Cell lengths 4.210, 4.210, 6.023 Å; angles 110.45, 110.45, 90.00 degrees
Fractional coordinates of all 5 atoms:
Ge1 0.620 0.620 0.239
Ge2 0.380 0.380 0.761
Rh1 0.750 0.250 0.500
Pm1 0.000 0.000 0.000
Pd1 0.250 0.750 0.500

As for the formation energy: -0.83 eV/atom. The total energy comes out at -6.1316 eV/atom.


Record 8
First-principles (PBE-GGA) data for an optimized crystal structure of Ce2PdBr, as listed in Alexandria via LeMat-Bulk.

Cell lengths 4.015, 4.015, 8.377 Å; angles 76.14, 76.14, 60.00 degrees
Last column: magnetic moment on the atom in μB.
Fractional coordinates of all 4 atoms:
Br1 0.500 0.500 0.500  -0.01
Ce1 0.262 0.262 0.215  1.03
Pd1 0.667 0.667 0.999  -0.02
Ce2 0.071 0.071 0.786  1.02

The total energy comes out at -5.5138 eV/atom. The value obtained for the uncorrected formation energy is -0.83 eV per atom. Its energy above the most stable polymorph in this dataset is 10.0 meV/atom.